1.
Material: NaCdHg3
Method: DFT, PBE
State: optimized geometry

It has space group P-1 (No. 2), with a = 5.444 Å, b = 5.577 Å, c = 8.602 Å, α = 72.07°, β = 89.92° and γ = 89.85°. Symmetry generates all atoms from Na at (0.249, 0.296, 0.299), Cd at (0.249, 0.114, 0.699), Hg at (0.250, 0.505, 0.902), Hg at (0.251, 0.702, 0.503) and Hg at (0.251, 0.895, 0.103).

As for the formation energy: -0.135 eV/atom. The volume is 24.850 Å³/atom. The final energy is -0.7625 eV/atom. The polymorph energy (0 for the lowest one) comes out at 0 meV/atom.



2.
Material: Mg6TlIn2
Method: DFT, PBE
State: optimized geometry

It has space group P-62m (No. 189), with a = 8.2882 Å, b = 8.2882 Å, c = 3.5442 Å, α = 90.00°, β = 90.00° and γ = 120.00°. Symmetry generates all atoms from Mg at (0.0000, 0.3720, 0.0000), Mg at (0.0000, 0.7110, 0.5000), Tl at (0.0000, 0.0000, 0.0000) and In at (0.3333, 0.6667, 0.5000).

As for the formation energy: -0.057 eV/atom. The volume is 23.429 Å³/atom. The final energy is -1.9916 eV/atom.



3.
Material: LaSm2Sc
Method: DFT, PBE
State: optimized geometry

It has space group P2_1/m (No. 11), with a = 5.915 Å, b = 3.346 Å, c = 13.167 Å, α = 90.00°, β = 91.42° and γ = 90.00°. Symmetry generates all atoms from La at (0.225, 0.250, 0.167), Sm at (0.247, 0.250, 0.449), Sm at (0.254, 0.750, 0.691) and Sc at (0.280, 0.750, 0.945).

As for the formation energy: 0.261 eV/atom. The volume is 32.569 Å³/atom. The final energy is -4.9134 eV/atom. The polymorph energy (0 for the lowest one) comes out at 217 meV/atom.



| no. | magnetic moment (μB per atom) |
| --- | --- |
| 1 | 0.000 |
| 2 | 0.000 |
| 3 | 0.001 |